Arrangement 1

A relaxed structure of VNiC2, computed with PBE.

Lattice parameters (Å, degrees): 4.431 4.431 5.427 65.90 65.90 90.00
Positions (direct):
Ni1 0.000 0.000 0.000
Ni2 0.750 0.250 0.500
C1 0.633 0.125 0.250
C2 0.117 0.625 0.250
C3 0.375 0.367 0.750
C4 0.875 0.883 0.750
V1 0.500 0.500 0.000
V2 0.250 0.750 0.500

## Properties
- Symmetry: I-42d

Arrangement 2

A relaxed structure of VNiC2, computed with PBE.

Lattice parameters (Å, degrees): 3.616 3.616 3.616 60.00 60.00 60.00
Positions (direct):
Ni1 0.500 0.500 0.500
C1 0.250 0.250 0.250
C2 0.750 0.750 0.750
V1 0.000 0.000 0.000

## Properties
- Symmetry: Fm-3m

The least stable of them is arrangement 2.

Arrangement 1

A relaxed structure of YNiC3, computed with PBE.

Lattice parameters (Å, degrees): 3.856 3.856 3.856 90.00 90.00 90.00
Positions (direct):
Y1 0.500 0.500 0.500
Ni1 0.000 0.000 0.000
C1 0.000 0.500 0.000
C2 0.000 0.000 0.500
C3 0.500 0.000 0.000

## Properties
- Symmetry: Pm-3m

Arrangement 2

A relaxed structure of YNiC3, computed with PBE.

Lattice parameters (Å, degrees): 4.409 4.409 4.409 90.00 90.00 90.00
Positions (direct):
Y1 0.000 0.000 0.000
Ni1 0.500 0.500 0.500
C1 0.000 0.500 0.000
C2 0.000 0.000 0.500
C3 0.500 0.000 0.000

## Properties
- Symmetry: Pm-3m

The least stable of them is arrangement 2.

Arrangement 1

A relaxed structure of YNiC, computed with PBE.

Lattice parameters (Å, degrees): 3.447 4.516 6.327 110.89 90.00 90.00
Positions (direct):
Y1 0.361 0.656 0.548
Y2 0.361 0.356 0.947
Ni1 0.861 0.905 0.044
Ni2 0.861 0.107 0.450
C1 0.861 0.353 0.247
C2 0.861 0.659 0.247

## Properties
- Symmetry: Cmmm

Arrangement 2

A relaxed structure of YNiC, computed with PBE.

Lattice parameters (Å, degrees): 3.820 3.523 3.523 120.00 90.00 90.00
Positions (direct):
Y1 0.667 0.333 0.667
Ni1 0.167 0.000 0.000
C1 0.167 0.667 0.333

## Properties
- Symmetry: P-6m2

The least stable of them is arrangement 2.

Arrangement 1

A relaxed structure of ZnNi2C2, computed with PBE.

Lattice parameters (Å, degrees): 2.624 2.624 7.009 79.21 79.21 90.00
Positions (direct):
Ni1 0.364 0.364 0.272
Ni2 0.636 0.636 0.728
Zn1 0.000 0.000 0.000
C1 0.750 0.250 0.500
C2 0.250 0.750 0.500

## Properties
- Symmetry: I4/mmm

Arrangement 2

A relaxed structure of ZnNi2C2, computed with PBE.

Lattice parameters (Å, degrees): 6.106 6.106 2.577 90.00 90.00 90.00
Positions (direct):
Ni1 0.364 0.864 0.000
Ni2 0.864 0.636 0.000
Ni3 0.636 0.136 0.000
Ni4 0.136 0.364 0.000
Zn1 0.000 0.000 0.000
Zn2 0.500 0.500 0.000
C1 0.146 0.646 0.500
C2 0.646 0.854 0.500
C3 0.854 0.354 0.500
C4 0.354 0.146 0.500

## Properties
- Symmetry: P4/mbm

The least stable of them is arrangement 2.